## La2Ni15Ir2 (GGA-PBE)

Data for a geometry-optimized La2Ni15Ir2 structure.

* magnetization: 8.026 μB/cell

Cell: 6.4032 6.4032 6.4032 Å, 82.57 82.57 82.57°
With the nearest neighbours (Å) after each atom.
Fractional positions:
Ni (0.0000, 0.7096, 0.2904)  8 Ni 2.43-2.63
Ni (0.7096, 0.0000, 0.2904)  8 Ni 2.43-2.63
Ni (0.6570, 0.1540, 0.6570)  8 Ni 2.44-2.63, 1 Ir 2.60
Ni (0.2904, 0.7096, 0.0000)  8 Ni 2.43-2.63
Ni (0.8460, 0.3430, 0.3430)  8 Ni 2.44-2.63, 1 Ir 2.60
Ni (0.0000, 0.2904, 0.7096)  8 Ni 2.43-2.63
Ni (0.7096, 0.2904, 0.0000)  8 Ni 2.43-2.63
Ni (0.3430, 0.8460, 0.3430)  8 Ni 2.44-2.63, 1 Ir 2.60
Ni (0.0000, 0.0000, 0.5000)  8 Ni 2.43-2.44, 2 Ir 2.57
Ni (0.5000, 0.0000, 0.0000)  8 Ni 2.43-2.44, 2 Ir 2.57
Ni (0.0000, 0.5000, 0.0000)  8 Ni 2.43-2.44, 2 Ir 2.57
Ni (0.1540, 0.6570, 0.6570)  8 Ni 2.44-2.63, 1 Ir 2.60
Ni (0.2904, 0.0000, 0.7096)  8 Ni 2.43-2.63
Ni (0.3430, 0.3430, 0.8460)  8 Ni 2.44-2.63, 1 Ir 2.60
Ni (0.6570, 0.6570, 0.1540)  8 Ni 2.44-2.63, 1 Ir 2.60
La (0.3444, 0.3444, 0.3444)  18 Ni 3.02-3.29, 1 Ir 3.02
La (0.6556, 0.6556, 0.6556)  18 Ni 3.02-3.29, 1 Ir 3.02
Ir (0.1018, 0.1018, 0.1018)  1 Ir 2.53, 12 Ni 2.57-2.76
Ir (0.8982, 0.8982, 0.8982)  1 Ir 2.53, 12 Ni 2.57-2.76

## LaNi3Ir (GGA-PBE)

Data for a geometry-optimized LaNi3Ir structure.

* relative energy among the computed polymorphs: 0.3809 eV/atom
* magnetization: 0.015 μB/cell

Cell: 5.0809 4.7426 7.2255 Å, 90.00 90.00 90.00°
With the nearest neighbours (Å) after each atom.
Fractional positions:
La (0.5000, 0.0000, 0.0000)  2 Ni 2.37
La (0.5000, 0.5000, 0.5000)  2 Ni 2.37
Ni (0.5000, 0.0000, 0.5000)  2 La 2.37, 2 Ir 2.54
Ni (0.0000, 0.5004, 0.6686)  3 Ir 2.39-2.67, 3 Ni 2.44-2.65
Ni (0.0000, 0.4996, 0.3314)  3 Ir 2.39-2.67, 3 Ni 2.44-2.65
Ni (0.5000, 0.5000, 0.0000)  2 La 2.37, 2 Ir 2.54
Ni (0.0000, 0.9996, 0.1686)  3 Ir 2.39-2.67, 3 Ni 2.44-2.65
Ni (0.0000, 0.0004, 0.8314)  3 Ir 2.39-2.67, 3 Ni 2.44-2.65
Ir (0.0000, 0.0000, 0.5000)  8 Ni 2.39-2.67
Ir (0.0000, 0.5000, 0.0000)  8 Ni 2.39-2.67

## La2NiIr2 (GGA-PBE)

Data for a geometry-optimized La2NiIr2 structure.

* magnetization: 0.000 μB/cell

Cell: 7.1021 7.1021 4.2864 Å, 90.00 90.00 90.00°
With the nearest neighbours (Å) after each atom.
Fractional positions:
La (0.6782, 0.8218, 0.5000)  6 Ir 2.84-3.11
La (0.8218, 0.3218, 0.5000)  6 Ir 2.84-3.11
La (0.1782, 0.6782, 0.5000)  6 Ir 2.84-3.11
La (0.3218, 0.1782, 0.5000)  6 Ir 2.84-3.11
Ir (0.8637, 0.6363, 0.0000)  1 Ir 2.74, 2 Ni 2.76, 2 La 2.84
Ir (0.1363, 0.3637, 0.0000)  1 Ir 2.74, 2 Ni 2.76, 2 La 2.84
Ir (0.6363, 0.1363, 0.0000)  1 Ir 2.74, 2 Ni 2.76, 2 La 2.84
Ir (0.3637, 0.8637, 0.0000)  1 Ir 2.74, 2 Ni 2.76, 2 La 2.84
Ni (0.0000, 0.0000, 0.0000)  4 Ir 2.76
Ni (0.5000, 0.5000, 0.0000)  4 Ir 2.76

Calculated values (states/eV/atom) of DOS(E_F) for the records, taken in order: 1.3693 1.1187 0.7895.
Calculated values (Ry per atom) of E for the records, taken in order: -0.4537 -0.4474 -0.5188.
Calculated values (kJ/mol of atoms) of energy of formation for the records, taken in order: -15.2 13.4 -37.3.